Record 1
VASP calculation (GGA-PBE) on a relaxed structure of LiV4Pt5.

abc: 2.7321 2.7321 18.9838
angles: 90.00 90.00 90.00
Fractional positions:
Pt  0.5000  0.5000  0.7044
Pt  0.5000  0.5000  0.9025
Pt  0.5000  0.5000  0.5000
Pt  0.5000  0.5000  0.0975
Pt  0.5000  0.5000  0.2956
V  0.0000  0.0000  0.8070
V  0.0000  0.0000  0.1930
V  0.0000  0.0000  0.3977
V  0.0000  0.0000  0.6023
Li  0.0000  0.0000  0.0000

Results
total moment = 0.00 μB per formula unit
formation enthalpy at 0 K = -54.8 kJ per mole of atoms
N(E_F) = 6.107 states/eV/f.u.

***

Record 2
VASP calculation (GGA-PBE) on a relaxed structure of LiVPt2.

abc: 6.8265 6.8265 5.5407
angles: 51.97 51.97 90.00
Fractional positions:
Pt  0.3750  0.3625  0.7500
Pt  0.1125  0.6250  0.2500
Pt  0.6375  0.1250  0.2500
Pt  0.8750  0.8875  0.7500
V  0.0000  0.0000  0.0000
V  0.7500  0.2500  0.5000
Li  0.2500  0.7500  0.5000
Li  0.5000  0.5000  0.0000

Results
total moment = 1.57 μB per formula unit
formation enthalpy at 0 K = -11.1 kJ per mole of atoms
N(E_F) = 4.504 states/eV/f.u.

***

Record 3
VASP calculation (GGA-PBE) on a relaxed structure of LiVPt3.

abc: 6.5914 6.6285 6.9412
angles: 90.00 90.00 90.00
Fractional positions:
V  0.0000  0.5000  0.5000
V  0.5000  0.0000  0.5000
V  0.0000  0.5000  0.0000
V  0.5000  0.0000  0.0000
Pt  0.1076  0.2312  0.7500
Pt  0.6076  0.2688  0.7500
Pt  0.3924  0.7312  0.2500
Pt  0.8485  0.1484  0.0570
Pt  0.1515  0.8516  0.9430
Pt  0.6515  0.6484  0.9430
Pt  0.1515  0.8516  0.5570
Pt  0.6515  0.6484  0.5570
Pt  0.8924  0.7688  0.2500
Pt  0.8485  0.1484  0.4430
Pt  0.3485  0.3516  0.4430
Pt  0.3485  0.3516  0.0570
Li  0.6733  0.4263  0.2500
Li  0.1733  0.0737  0.2500
Li  0.8267  0.9263  0.7500
Li  0.3267  0.5737  0.7500

Results
energy above the most stable polymorph in this dataset = 0.0 meV/atom
total moment = 1.18 μB per formula unit
formation enthalpy at 0 K = -25.1 kJ per mole of atoms
N(E_F) = 3.850 states/eV/f.u.

***

Record 4
VASP calculation (GGA-PBE) on a relaxed structure of LiV2Pt9.

abc: 3.9079 3.9079 11.6889
angles: 90.00 90.00 90.00
Fractional positions:
V  0.0000  0.0000  0.3243
V  0.0000  0.0000  0.6757
Pt  0.5000  0.0000  0.1689
Pt  0.0000  0.5000  0.8311
Pt  0.0000  0.5000  0.5000
Pt  0.0000  0.5000  0.1689
Pt  0.5000  0.5000  0.0000
Pt  0.5000  0.5000  0.3345
Pt  0.5000  0.0000  0.5000
Pt  0.5000  0.5000  0.6656
Pt  0.5000  0.0000  0.8311
Li  0.0000  0.0000  0.0000

Results
total moment = 0.76 μB per formula unit
formation enthalpy at 0 K = -45.9 kJ per mole of atoms
N(E_F) = 12.109 states/eV/f.u.